(1)
VASP calculation (PBE-GGA) on crystalline UGe2Ir at its relaxed geometry.

abc: 2.8798 2.8798 29.9568
angles: 90.00 90.00 120.00
Space group R-3m (No. 166, hexagonal axes)
Unique sites:
1 U 0.0000 0.0000 0.0000 [3 per cell]
2 Ge 0.0000 0.0000 0.4190 [6 per cell]
3 Ir 0.0000 0.0000 0.5000 [3 per cell]

Calculated values
Density in Mg/m³: 13.33
Formation energy from the elements in eV/atom: 0.112
Crystal system: trigonal


(2)
VASP calculation (PBE-GGA) on crystalline LaCe2PmS4 at its relaxed geometry.

abc: 7.035 4.054 7.048
angles: 90.00 109.37 90.00
Space group P2/m (No. 10)
Unique sites:
1 La 0.000 0.000 0.000 [1 per cell]
2 Ce 0.000 0.500 0.500 [1 per cell]
3 Ce 0.500 0.000 0.500 [1 per cell]
4 Pm 0.500 0.500 0.000 [1 per cell]
5 S 0.253 0.000 0.748 [2 per cell]
6 S 0.256 0.500 0.255 [2 per cell]

Calculated values
Density in Mg/m³: 6.06
Formation energy (no corrections) in eV/f.u.: -16.56
Crystal system: monoclinic


(3)
VASP calculation (PBE-GGA) on crystalline TbY4Mg3 at its relaxed geometry.

abc: 3.820 5.454 11.042
angles: 90.00 90.00 90.00
Space group Pmmm (No. 47)
Unique sites:
1 Tb 0.000 0.000 0.000 [1 per cell]
2 Y 0.500 0.000 0.263 [2 per cell]
3 Y 0.500 0.500 0.000 [1 per cell]
4 Y 0.500 0.500 0.500 [1 per cell]
5 Mg 0.000 0.000 0.500 [1 per cell]
6 Mg 0.000 0.500 0.251 [2 per cell]

Calculated values
Density in Mg/m³: 4.24
Formation energy from the elements in eV/atom: -0.026
Crystal system: orthorhombic


(4)
VASP calculation (PBE-GGA) on crystalline Na2PaCu2O6 at its relaxed geometry.

abc: 5.4121 5.4121 5.6542
angles: 90.00 90.00 120.00
Space group P-31m (No. 162)
Unique sites:
1 Na 0.3333 0.6667 0.0000 [2 per cell]
2 Pa 0.0000 0.0000 0.5000 [1 per cell]
3 Cu 0.3333 0.6667 0.5000 [2 per cell]
4 O 0.0000 0.3491 0.3003 [6 per cell]

Calculated values
Density in Mg/m³: 5.79
Formation energy (no corrections) in eV/f.u.: -19.14
Crystal system: trigonal


(5)
VASP calculation (PBE-GGA) on crystalline MgBrCl2 at its relaxed geometry.

abc: 3.5316 3.5316 36.2791
angles: 90.00 90.00 120.00
Space group R-3m (No. 166, hexagonal axes)
Unique sites:
1 Mg 0.0000 0.0000 0.0000 [3 per cell]
2 Br 0.0000 0.0000 0.5000 [3 per cell]
3 Cl 0.0000 0.0000 0.2940 [6 per cell]

Calculated values
Density in Mg/m³: 2.23
Formation energy (no corrections) in eV/f.u.: -4.74
Crystal system: trigonal


(6)
VASP calculation (PBE-GGA) on crystalline NaCrPCl2 at its relaxed geometry.

abc: 4.961 4.961 5.357
angles: 90.00 90.00 90.00
Space group P4/mmm (No. 123)
Unique sites:
1 Na 0.000 0.000 0.000 [1 per cell]
2 Cr 0.500 0.500 0.500 [1 per cell]
3 P 0.000 0.000 0.500 [1 per cell]
4 Cl 0.000 0.500 0.000 [2 per cell]

Calculated values
Density in Mg/m³: 2.23
Formation energy (no corrections) in eV/f.u.: 1.79
Crystal system: tetragonal


| no. | M_tot (μB per atom) |
| --- | --- |
| 1 | 0.00 |
| 2 | 0.20 |
| 3 | 0.00 |
| 4 | 0.27 |
| 5 | 0.14 |
| 6 | 0.39 |